Entry a
DFT (GGA-PBE) results for a geometry-optimized TaSb2Pt structure.

Structure (extended XYZ):
```
4
Lattice="-0.0690 0.0588 -3.0988 2.0869 -2.2909 -0.0842 -7.0538 -6.4268 0.0352" Properties=species:S:1:pos:R:3 pbc="T T T"
Sb -1.2087 -3.1366 -1.5804
Pt -4.0569 -5.7316 -1.5662
Sb -6.5516 -5.9693 0.0327
Ta -3.7995 -3.4618 0.0190
```

---

Entry b
DFT (GGA-PBE) results for a geometry-optimized TaSb2Pt structure.

Structure (extended XYZ):
```
4
Lattice="-1.0556 -6.1637 -1.2447 1.3400 -5.1190 3.5574 -2.7346 5.7523 -0.2964" Properties=species:S:1:pos:R:3 pbc="T T T"
Ta 0.1266 -5.0240 1.0298
Pt -0.6283 -2.4228 2.1920
Sb -1.8173 -3.2935 -0.1376
Sb 0.0109 -0.4315 0.0884
```

---

Entry c
DFT (GGA-PBE) results for a geometry-optimized TaSb2Pt structure.

Structure (extended XYZ):
```
4
Lattice="3.5584 0.0000 0.0000 0.0000 4.6933 0.0000 0.0000 0.0000 4.6933" Properties=species:S:1:pos:R:3 pbc="T T T"
Sb 0.0000 2.3466 2.3466
Sb 0.0000 0.0000 0.0000
Ta 1.7792 2.3466 0.0000
Pt 1.7792 0.0000 2.3466
```

---

So which one wins? Going from most stable to least: entry a, entry c, entry b.

---

Entry a
DFT (GGA-PBE) results for a geometry-optimized TaSb2Pt structure.

Structure (extended XYZ):
```
4
Lattice="-2.8883 -1.5596 -1.3856 1.3937 -3.2034 0.7005 -2.7064 0.0451 5.5908" Properties=species:S:1:pos:R:3 pbc="T T T"
Sb -2.7009 0.0450 5.5795
Ta -1.4239 -2.3702 1.0551
Pt -2.7771 -2.3477 3.8505
Sb -1.3586 0.0226 2.8067
```

---

Entry b
DFT (GGA-PBE) results for a geometry-optimized TaSb2Pt structure.

Structure (extended XYZ):
```
4
Lattice="4.8888 0.0000 0.0000 2.4444 4.2338 0.0000 2.4444 1.4113 3.9917" Properties=species:S:1:pos:R:3 pbc="T T T"
Sb 2.4444 1.4113 0.9979
Ta 7.3332 4.2338 2.9938
Sb 0.0000 0.0000 0.0000
Pt 4.8888 2.8226 1.9958
```

---

So which one wins? Going from most stable to least: entry a, entry b.

---

Entry a
DFT (GGA-PBE) results for a geometry-optimized TaSb2Pt structure.

Structure (extended XYZ):
```
4
Lattice="-1.3208 1.2502 -3.2952 2.7892 -1.7804 -1.7934 -3.3151 -4.7257 -0.4642" Properties=species:S:1:pos:R:3 pbc="T T T"
Pt -1.8457 -3.9428 -2.9056
Sb -0.2556 -1.6761 -2.6829
Ta -1.5740 -2.2438 -0.2204
Sb -3.1441 -4.4820 -0.4403
```

---

Entry b
DFT (GGA-PBE) results for a geometry-optimized TaSb2Pt structure.

Structure (extended XYZ):
```
4
Lattice="2.0568 1.7033 4.0338 -2.1149 -0.7328 4.2887 1.9804 -3.0582 3.1825" Properties=species:S:1:pos:R:3 pbc="T T T"
Sb 0.4805 -0.5219 2.8762
Sb 1.4416 -1.5657 8.6287
Ta 0.0000 0.0000 0.0000
Pt 0.9611 -1.0438 5.7525
```

---

Entry c
DFT (GGA-PBE) results for a geometry-optimized TaSb2Pt structure.

Structure (extended XYZ):
```
4
Lattice="-2.8914 4.5538 1.2335 -2.6934 2.9723 3.8119 3.5101 3.4933 1.8732" Properties=species:S:1:pos:R:3 pbc="T T T"
Pt -1.5205 8.6915 5.4480
Sb -0.1902 2.7700 1.7137
Sb 3.1391 3.4425 1.8705
Ta -1.0304 5.1186 3.2188
```

---

So which one wins? Going from most stable to least: entry a, entry c, entry b.

---

Entry a
DFT (GGA-PBE) results for a geometry-optimized TaSb2Pt structure.

Structure (extended XYZ):
```
4
Lattice="8.9601 -0.0036 -0.0021 8.3662 3.2078 -0.0021 8.3662 1.5472 2.8100" Properties=species:S:1:pos:R:3 pbc="T T T"
Sb 0.0668 0.0124 0.0073
Sb 12.7794 2.3634 1.3956
Ta 6.4231 1.1879 0.7015
Pt 19.2693 3.5636 2.1044
```

---

Entry b
DFT (GGA-PBE) results for a geometry-optimized TaSb2Pt structure.

Structure (extended XYZ):
```
4
Lattice="-0.5939 -1.1466 -5.1281 -0.4812 -5.2480 -0.4382 -2.4782 3.9340 2.5193" Properties=species:S:1:pos:R:3 pbc="T T T"
Sb -0.0232 -0.1380 -0.1201
Sb -0.5144 -3.0593 -2.6630
Ta -1.8049 -0.2050 -2.6959
Pt -1.7485 -2.2557 -0.3510
```

---

So which one wins? Going from most stable to least: entry a, entry b.

---

Entry a
DFT (GGA-PBE) results for a geometry-optimized Ta2Sb2Pt structure.

Structure (extended XYZ):
```
5
Lattice="-3.1669 -2.4035 -0.2762 2.3163 -3.1435 0.7971 -1.6190 -1.9654 6.9162" Properties=species:S:1:pos:R:3 pbc="T T T"
Sb -2.6056 -3.5712 3.4502
Ta -0.6463 -2.6239 1.4929
Pt 0.0000 0.0000 0.0000
Ta -1.8233 -4.8886 5.9442
Sb 0.1360 -3.9413 3.9869
```

---

Entry b
DFT (GGA-PBE) results for a geometry-optimized Ta2Sb2Pt structure.

Structure (extended XYZ):
```
10
Lattice="7.2874 0.0000 0.0000 0.0000 7.2874 0.0000 0.0000 0.0000 3.8473" Properties=species:S:1:pos:R:3 pbc="T T T"
Sb 4.7988 6.1322 1.9237
Ta 4.6620 1.0183 0.0000
Pt 0.0000 0.0000 0.0000
Pt 3.6437 3.6437 0.0000
Ta 6.2690 4.6620 0.0000
Sb 2.4886 1.1551 1.9237
Ta 2.6254 6.2690 0.0000
Ta 1.0183 2.6254 0.0000
Sb 6.1322 2.4886 1.9237
Sb 1.1551 4.7988 1.9237
```

---

So which one wins? Going from most stable to least: entry b, entry a.

---

Entry a
DFT (GGA-PBE) results for a geometry-optimized TaSbPt3 structure.

Structure (extended XYZ):
```
5
Lattice="-0.3482 -4.3575 -2.1078 3.0395 -1.8415 3.3049 -3.7672 -1.0830 2.8613" Properties=species:S:1:pos:R:3 pbc="T T T"
Pt -1.8836 -0.5415 1.4306
Pt 1.5197 -0.9208 1.6524
Ta -0.5380 -3.6410 2.0292
Sb 0.0000 0.0000 0.0000
Pt -0.1741 -2.1787 -1.0539
```

---

Entry b
DFT (GGA-PBE) results for a geometry-optimized TaSbPt3 structure.

Structure (extended XYZ):
```
5
Lattice="-2.2245 2.8272 3.3371 1.6537 -2.9222 3.5782 4.0490 2.7468 0.3720" Properties=species:S:1:pos:R:3 pbc="T T T"
Pt 2.0245 1.3734 0.1860
Pt 0.8269 -1.4611 1.7891
Ta 0.0000 0.0000 0.0000
Pt -1.1123 1.4136 1.6685
Sb 1.7391 1.3259 3.6436
```

---

So which one wins? Going from most stable to least: entry b, entry a.